(1)
## TbSmZnRh (PBE)

Data for a relaxed structure of TbSmZnRh.

Values from the calculation:
- Space-group type: F-43m, No. 216
- Total magnetic moment: 0.000 Bohr magnetons per cell
- DFT formation energy: -0.5546 eV per atom

Cell: 5.002 5.002 5.002 Å, 60.00 60.00 60.00°
Atoms (fractional coordinates):
Tb1 0.000 0.000 0.000
Sm1 0.500 0.500 0.500
Zn1 0.250 0.250 0.250
Rh1 0.750 0.750 0.750

---

(2)
## V2ZnReAs (PBE)

Data for a relaxed structure of V2ZnReAs.

Values from the calculation:
- Space-group type: P4/mmm, No. 123
- Total magnetic moment: 2.849 Bohr magnetons per cell
- DFT formation energy: 0.9990 eV per atom

Cell: 4.531 4.531 4.554 Å, 90.00 90.00 90.00°
Atoms (fractional coordinates):
V1 0.000 0.500 0.000
V2 0.500 0.000 0.000
Zn1 0.000 0.000 0.500
Re1 0.500 0.500 0.500
As1 0.500 0.500 0.000

---

(3)
## LaZrPt2 (PBE)

Data for a relaxed structure of LaZrPt2.

Values from the calculation:
- Space-group type: C2/m, No. 12
- Total magnetic moment: 0.000 Bohr magnetons per cell
- DFT formation energy: -0.9634 eV per atom

Cell: 4.158 4.158 6.831 Å, 107.77 107.77 60.18°
Atoms (fractional coordinates):
La1 0.000 0.000 0.000
Zr1 0.500 0.500 0.500
Pt1 0.235 0.235 0.705
Pt2 0.765 0.765 0.295

---

(4)
## LiTmGa2Cu2 (PBE)

Data for a relaxed structure of LiTmGa2Cu2.

Values from the calculation:
- Space-group type: P-3m1, No. 164
- Total magnetic moment: 0.000 Bohr magnetons per cell
- DFT formation energy: -0.3770 eV per atom

Cell: 4.265 4.265 6.283 Å, 90.00 90.00 120.00°
Atoms (fractional coordinates):
Li1 0.000 0.000 0.000
Tm1 0.000 0.000 0.500
Ga1 0.333 0.667 0.793
Ga2 0.667 0.333 0.207
Cu1 0.333 0.667 0.215
Cu2 0.667 0.333 0.785

---

(5)
## Rb4OF2 (PBE)

Data for a relaxed structure of Rb4OF2.

Values from the calculation:
- Space-group type: I4/mmm, No. 139
- ΔE_f (raw): -1.75 eV per atom
- Total magnetic moment: 0.000 Bohr magnetons per cell

Cell: 8.362 8.362 8.362 Å, 142.39 142.39 54.25°
Atoms (fractional coordinates):
Rb1 0.000 0.500 0.500
Rb2 0.179 0.179 0.000
Rb3 0.500 0.000 0.500
Rb4 0.821 0.821 0.000
O1 0.000 0.000 0.000
F1 0.360 0.360 0.000
F2 0.640 0.640 0.000

---

(6)
## Pr2SmGa (PBE)

Data for a relaxed structure of Pr2SmGa.

Values from the calculation:
- Space-group type: R-3m, No. 166
- Total magnetic moment: 0.001 Bohr magnetons per cell
- DFT formation energy: 0.0907 eV per atom

Cell: 8.335 8.335 8.335 Å, 30.86 30.86 30.86°
Atoms (fractional coordinates):
Pr1 0.231 0.231 0.231
Pr2 0.769 0.769 0.769
Sm1 0.000 0.000 0.000
Ga1 0.500 0.500 0.500

---

(7)
## Na3NpH2O6 (PBE)

Data for a relaxed structure of Na3NpH2O6.

Values from the calculation:
- Raw total energy: -6.3915 eV per atom
- Space-group type: Fdd2, No. 43
- Total magnetic moment: 0.000 Bohr magnetons per cell

Cell: 11.396 5.984 10.603 Å, 81.69 31.30 67.01°
Atoms (fractional coordinates):
Na1 0.000 0.000 0.000
Na2 0.249 0.430 0.571
Na3 0.250 0.250 0.250
Na4 0.430 0.249 0.750
Na5 0.500 0.679 0.820
Na6 0.679 0.500 0.001
Np1 0.665 0.665 0.335
Np2 0.915 0.915 0.585
H1 0.006 0.725 0.271
H2 0.252 0.979 0.525
H3 0.725 0.006 0.998
H4 0.979 0.252 0.244
O1 0.024 0.281 0.115
O2 0.135 0.671 0.226
O3 0.238 0.857 0.367
O4 0.281 0.024 0.579
O5 0.444 0.624 0.662
O6 0.588 0.980 0.806
O7 0.624 0.444 0.270
O8 0.671 0.135 0.969
O9 0.712 0.883 0.393
O10 0.857 0.238 0.538
O11 0.883 0.712 0.012
O12 0.980 0.588 0.626

---

(8)
## TaPb2Se (PBE)

Data for a relaxed structure of TaPb2Se.

Values from the calculation:
- Space-group type: I-4m2, No. 119
- ΔE_f (raw): 0.63 eV per atom
- Total magnetic moment: 0.001 Bohr magnetons per cell

Cell: 5.895 5.895 5.895 Å, 136.44 136.44 63.31°
Atoms (fractional coordinates):
Ta1 0.000 0.000 0.000
Pb1 0.250 0.750 0.500
Pb2 0.500 0.500 0.000
Se1 0.750 0.250 0.500